No. 1
Here is Ti4As2P after structural relaxation from Alexandria. Energies are from PBE-GGA.

Computed properties:
Energy relative to the elements: -0.94 eV/atom

POSCAR file:
```
Ti4As2P
1.0
6.5765 0.0000 0.0000
0.0000 10.0586 0.0000
0.0000 0.0000 3.6181
Ti As P
8 4 2
Direct
0.1317 0.2135 0.0000
0.2238 0.9367 0.5000
0.2762 0.4367 0.5000
0.3683 0.7135 0.0000
0.6317 0.2865 0.0000
0.7238 0.5633 0.5000
0.7762 0.0633 0.5000
0.8683 0.7865 0.0000
0.0872 0.6716 0.5000
0.4128 0.1716 0.5000
0.5872 0.8284 0.5000
0.9128 0.3284 0.5000
0.0000 0.0000 0.0000
0.5000 0.5000 0.0000
```

No. 2
Here is LaFePb2 after structural relaxation from Alexandria. Energies are from PBE-GGA.

Computed properties:
Polymorph energy (0 for the lowest one): 0.148 eV per atom
Energy relative to the elements: 0.12 eV/atom

POSCAR file:
```
LaFePb2
1.0
4.6401 0.0000 0.0000
0.0000 4.6401 0.0000
0.0000 0.0000 9.9216
La Fe Pb
2 2 4
Direct
0.0000 0.0000 0.0000
0.5000 0.5000 0.5000
0.0000 0.5000 0.2500
0.5000 0.0000 0.7500
0.0000 0.0000 0.5000
0.0000 0.5000 0.7500
0.5000 0.0000 0.2500
0.5000 0.5000 0.0000
```

No. 3
Here is Tb6TcSn2 after structural relaxation from Alexandria. Energies are from PBE-GGA.

Computed properties:
Energy relative to the elements: -0.44 eV/atom

POSCAR file:
```
Tb6TcSn2
1.0
8.1207 0.0000 0.0000
-4.0604 7.0328 0.0000
0.0000 0.0000 4.3960
Tb Tc Sn
6 1 2
Direct
0.0000 0.4041 0.0000
0.0000 0.7605 0.5000
0.2394 0.2394 0.5000
0.4041 0.0000 0.0000
0.5959 0.5959 0.0000
0.7605 0.0000 0.5000
0.0000 0.0000 0.0000
0.3333 0.6667 0.5000
0.6667 0.3333 0.5000
```

No. 4
Here is AcBO3 after structural relaxation from Alexandria. Energies are from PBE-GGA.

Computed properties:
Raw formation energy: -3.06 eV per atom

POSCAR file:
```
AcBO3
1.0
6.6316 0.0000 0.0000
0.0000 5.3753 0.0000
0.0000 0.0000 7.8678
Ac B O
4 4 12
Direct
0.1152 0.0577 0.0000
0.3848 0.5577 0.5000
0.6152 0.4423 0.0000
0.8848 0.9423 0.5000
0.1330 0.5752 0.1776
0.3670 0.0752 0.6776
0.6330 0.9248 0.1776
0.8670 0.4248 0.6776
0.0019 0.5713 0.0418
0.1425 0.7812 0.2852
0.2246 0.8850 0.6975
0.2754 0.3850 0.1975
0.3575 0.2812 0.7852
0.4981 0.0713 0.5418
0.5019 0.9287 0.0418
0.6425 0.7188 0.2852
0.7246 0.6150 0.6975
0.7754 0.1150 0.1975
0.8575 0.2188 0.7852
0.9981 0.4287 0.5418
```

No. 5
Here is LiYAs2Pb after structural relaxation from Alexandria. Energies are from PBE-GGA.

Computed properties:
Energy relative to the elements: 0.25 eV/atom

POSCAR file:
```
LiYAs2Pb
1.0
5.3801 0.0000 0.0000
0.0000 5.3801 0.0000
0.0000 0.0000 5.4918
Li Y As Pb
1 1 2 1
Direct
0.0000 0.0000 0.0000
0.0000 0.0000 0.5000
0.0000 0.5000 0.5000
0.5000 0.0000 0.5000
0.5000 0.5000 0.0000
```

No. 6
Here is Er3Cd2Pd6 after structural relaxation from Alexandria. Energies are from PBE-GGA.

Computed properties:
Polymorph energy (0 for the lowest one): 0.000 eV per atom
Energy relative to the elements: -0.70 eV/atom

POSCAR file:
```
Er3Cd2Pd6
1.0
-4.8394 4.8394 4.8394
4.8394 -4.8394 4.8394
4.8394 4.8394 -4.8394
Er Cd Pd
6 4 12
Direct
0.0000 0.3044 0.3044
0.0000 0.6956 0.6956
0.3044 0.0000 0.3044
0.3044 0.3044 0.0000
0.6956 0.0000 0.6956
0.6956 0.6956 0.0000
0.0000 0.0000 0.5000
0.0000 0.5000 0.0000
0.5000 0.0000 0.0000
0.5000 0.5000 0.5000
0.0000 0.3455 0.6545
0.0000 0.6545 0.3455
0.3091 0.6545 0.6545
0.3455 0.0000 0.6545
0.3455 0.3455 0.6909
0.3455 0.6545 0.0000
0.3455 0.6909 0.3455
0.6545 0.0000 0.3455
0.6545 0.3091 0.6545
0.6545 0.3455 0.0000
0.6545 0.6545 0.3091
0.6909 0.3455 0.3455
```

No. 7
Here is AgBF6 after structural relaxation from Alexandria. Energies are from PBE-GGA.

Computed properties:
Raw formation energy: -1.61 eV per atom

POSCAR file:
```
AgBF6
1.0
7.7555 0.0000 0.0000
0.0000 5.4918 0.0000
-1.2208 0.0000 4.9272
Ag B F
2 2 12
Direct
0.0000 0.0000 0.0000
0.5000 0.5000 0.0000
0.0000 0.5000 0.5000
0.5000 0.0000 0.5000
0.0885 0.2483 0.7874
0.0885 0.7517 0.7874
0.1596 0.5000 0.4579
0.3404 0.0000 0.5421
0.4115 0.2517 0.2126
0.4115 0.7483 0.2126
0.5885 0.2517 0.7874
0.5885 0.7483 0.7874
0.6596 0.0000 0.4579
0.8404 0.5000 0.5421
0.9115 0.2483 0.2126
0.9115 0.7517 0.2126
```

No. 8
Here is K2Cd3In4Ag after structural relaxation from Alexandria. Energies are from PBE-GGA.

Computed properties:
Energy relative to the elements: -0.07 eV/atom

POSCAR file:
```
K2Cd3In4Ag
1.0
5.0130 0.0000 0.0000
0.0000 5.0130 0.0000
0.0000 0.0000 11.9079
K Cd In Ag
2 3 4 1
Direct
0.0000 0.5000 0.2442
0.5000 0.0000 0.7558
0.0000 0.0000 0.0000
0.0000 0.5000 0.6376
0.5000 0.0000 0.3624
0.0000 0.0000 0.5000
0.0000 0.5000 0.8811
0.5000 0.0000 0.1189
0.5000 0.5000 0.5000
0.5000 0.5000 0.0000
```